# NiGeBi2O6 (PBE with a Hubbard U, relaxed)
# Crystal system: trigonal
# Spin magnetization (μB/atom): 0.19
# ρ (Mg/m³): 8.6
# Energy (eV/atom): -5.78
data_NiGeBi2O6
_chemical_formula_sum 'Ni3 Ge3 Bi6 O18'
_space_group_name_H-M_alt 'R 3'
_space_group_IT_number 146
_space_group_name_Hall 'R 3'
_cell_length_a 5.5767
_cell_length_b 5.5767
_cell_length_c 13.8058
_cell_angle_alpha 90.00
_cell_angle_beta 90.00
_cell_angle_gamma 120.00
loop_
_atom_site_label
_atom_site_type_symbol
_atom_site_fract_x
_atom_site_fract_y
_atom_site_fract_z
_atom_site_occupancy
Ni1 Ni 0.0000 0.0000 0.0000 1
Ge1 Ge 0.0000 0.0000 0.5047 1
Bi1 Bi 0.0000 0.0000 0.2260 1
Bi2 Bi 0.0000 0.0000 0.7258 1
O1 O 0.0321 0.5899 0.2646 1
O2 O 0.1013 0.3339 0.1028 1